[1]
A plane-wave DFT calculation with GGA-PBE was carried out for a relaxed Tb3Rh crystal.

Lattice parameters (Å, degrees): 6.1477 8.8313 8.8313 83.05 69.64 69.64
With the nearest neighbours (Å) after each atom.
Sites, in units of the cell vectors:
Tb 0.1562 0.0000 0.1883  2 Rh 3.03, 3 Tb 3.12-3.38
Tb 0.5000 0.6421 0.3579  4 Rh 2.91-3.16
Tb 0.9920 0.4058 0.0000  2 Rh 2.88
Tb 0.8438 0.8117 0.0001  2 Rh 3.03, 3 Tb 3.12-3.38
Tb 0.1421 0.3578 0.3580  4 Rh 2.91-3.16
Tb 0.6026 0.0000 0.4057  2 Rh 2.88
Tb 0.0080 0.0000 0.5942  2 Rh 2.88
Tb 0.5000 0.3579 0.6421  4 Rh 2.91-3.16
Tb 0.6554 0.1887 0.0001  2 Rh 3.03, 3 Tb 3.12-3.37
Tb 0.3974 0.5943 0.0001  2 Rh 2.88
Tb 0.3446 0.9998 0.8113  2 Rh 3.03, 3 Tb 3.12-3.37
Tb 0.8579 0.6419 0.6422  4 Rh 2.91-3.16
Rh 0.2961 0.7035 0.7037  8 Tb 2.88-3.16
Rh 0.0000 0.7038 0.2963  8 Tb 2.88-3.16
Rh 0.7038 0.2964 0.2964  8 Tb 2.88-3.16
Rh 0.0001 0.2964 0.7036  8 Tb 2.88-3.16

Calculated values
- DOS(E_F): 10.64 states/eV per cell
- Raw total energy: -5.770 eV per atom
- Theoretical density: 9.14 g/cm3

[2]
A plane-wave DFT calculation with GGA-PBE was carried out for a relaxed Sn2H2Pt crystal.

Lattice parameters (Å, degrees): 3.3734 3.3734 6.7951 75.63 75.63 90.00
With the nearest neighbours (Å) after each atom.
Sites, in units of the cell vectors:
Sn 0.6312 0.6312 0.7376  4 H 2.27
Sn 0.3688 0.3688 0.2624  4 H 2.27
H 0.2500 0.7500 0.5000  4 Sn 2.27, 4 H 2.39
H 0.7500 0.2500 0.5000  4 Sn 2.27, 4 H 2.39
Pt 0.0000 0.0000 0.0000  8 Sn 2.91

Calculated values
- DOS(E_F): 1.34 states/eV per cell
- Raw total energy: -3.980 eV per atom
- Theoretical density: 9.96 g/cm3

[3]
A plane-wave DFT calculation with GGA-PBE was carried out for a relaxed Zr2SbMo crystal.

Lattice parameters (Å, degrees): 5.7033 5.7033 5.7033 143.66 131.07 62.45
With the nearest neighbours (Å) after each atom.
Sites, in units of the cell vectors:
Zr 0.7316 0.2316 0.5000  2 Mo 2.84, 4 Sb 2.98, 2 Zr 3.12
Zr 0.9943 0.9943 0.0000  4 Mo 2.96, 4 Zr 3.12-3.31, 4 Sb 3.22
Mo 0.5047 0.5047 0.0000  6 Zr 2.84-2.96, 2 Sb 2.90
Sb 0.2694 0.7694 0.5000  2 Mo 2.90, 8 Zr 2.98-3.22

Calculated values
- DOS(E_F): 3.07 states/eV per cell
- ΔE_f (raw): -0.229 eV/atom
- Theoretical density: 8.11 g/cm3

[4]
A plane-wave DFT calculation with GGA-PBE was carried out for a relaxed SiIrWS2 crystal.

Lattice parameters (Å, degrees): 4.5461 4.5932 4.5461 90.00 90.00 90.00
With the nearest neighbours (Å) after each atom.
Sites, in units of the cell vectors:
S 0.0000 0.0000 0.5000  2 Ir 2.27
S 0.5000 0.0000 0.0000  2 Ir 2.27
W 0.5000 0.5000 0.5000  4 Si 3.21, 8 S 3.23
Si 0.0000 0.5000 0.0000  2 Ir 2.30
Ir 0.0000 0.0000 0.0000  4 S 2.27, 2 Si 2.30

Calculated values
- DOS(E_F): 5.89 states/eV per cell
- ΔE_f (raw): 1.403 eV/atom
- Theoretical density: 8.19 g/cm3

[5]
A plane-wave DFT calculation with GGA-PBE was carried out for a relaxed Al5Te4 crystal.

Lattice parameters (Å, degrees): 8.2653 8.2653 8.2653 93.00 93.00 153.54
With the nearest neighbours (Å) after each atom.
Sites, in units of the cell vectors:
Te 0.2488 0.0000 0.2488  5 Al 2.83-2.92
Te 0.7512 0.0000 0.7512  5 Al 2.83-2.92
Te 0.0000 0.2488 0.2488  5 Al 2.83-2.92
Te 0.0000 0.7512 0.7512  5 Al 2.83-2.92
Al 0.6852 0.6852 0.3705  2 Al 2.81, 4 Te 2.92
Al 0.3148 0.6852 0.0000  2 Al 2.81, 4 Te 2.92
Al 0.3148 0.3148 0.6295  2 Al 2.81, 4 Te 2.92
Al 0.0000 0.0000 0.0000  4 Te 2.83
Al 0.6852 0.3148 0.0000  2 Al 2.81, 4 Te 2.92

Calculated values
- DOS(E_F): 2.67 states/eV per cell
- ΔE_f (raw): 0.012 eV/atom
- Theoretical density: 4.38 g/cm3

[6]
A plane-wave DFT calculation with GGA-PBE was carried out for a relaxed Y7Sc crystal.

Lattice parameters (Å, degrees): 7.0675 7.0675 7.0675 60.00 60.00 60.00
With the nearest neighbours (Å) after each atom.
Sites, in units of the cell vectors:
Y 0.5000 0.5000 0.5000  12 Y 3.53
Y 0.5000 0.5000 0.0000  10 Y 3.53, 2 Sc 3.53
Y 0.5000 0.0000 0.0000  10 Y 3.53, 2 Sc 3.53
Y 0.0000 0.5000 0.5000  10 Y 3.53, 2 Sc 3.53
Y 0.5000 0.0000 0.5000  10 Y 3.53, 2 Sc 3.53
Y 0.0000 0.0000 0.5000  10 Y 3.53, 2 Sc 3.53
Y 0.0000 0.5000 0.0000  2 Sc 3.53, 10 Y 3.53
Sc 0.0000 0.0000 0.0000  12 Y 3.53

Calculated values
- DOS(E_F): 14.59 states/eV per cell
- Raw total energy: -6.404 eV per atom
- Theoretical density: 4.44 g/cm3

[7]
A plane-wave DFT calculation with GGA-PBE was carried out for a relaxed CeTm5P6 crystal.

Lattice parameters (Å, degrees): 6.8710 6.8710 6.8743 99.60 99.60 120.00
With the nearest neighbours (Å) after each atom.
Sites, in units of the cell vectors:
P 0.5807 0.9161 0.7480  5 Tm 2.79-2.81, 1 Ce 2.82
P 0.0839 0.4193 0.2520  5 Tm 2.79-2.81, 1 Ce 2.82
P 0.2517 0.2517 0.7493  5 Tm 2.79-2.80, 1 Ce 2.82
P 0.4193 0.0839 0.2520  5 Tm 2.79-2.81, 1 Ce 2.82
P 0.7483 0.7483 0.2507  5 Tm 2.79-2.80, 1 Ce 2.82
P 0.9161 0.5807 0.7480  5 Tm 2.79-2.81, 1 Ce 2.82
Tm 0.8339 0.1661 0.5000  6 P 2.79-2.80
Tm 0.3333 0.6667 0.0000  6 P 2.80-2.81
Tm 0.6667 0.3333 0.0000  6 P 2.80-2.81
Tm 0.5000 0.5000 0.5000  6 P 2.79-2.80
Tm 0.1661 0.8339 0.5000  6 P 2.79-2.80
Ce 0.0000 0.0000 0.0000  6 P 2.82

Calculated values
- DOS(E_F): 5.05 states/eV per cell
- Raw total energy: -6.653 eV per atom
- Theoretical density: 7.34 g/cm3

[8]
A plane-wave DFT calculation with GGA-PBE was carried out for a relaxed Nd6Cu2Pb crystal.

Lattice parameters (Å, degrees): 8.8808 8.8808 8.8808 102.46 109.62 116.64
With the nearest neighbours (Å) after each atom.
Sites, in units of the cell vectors:
Nd 0.4852 0.2929 0.1923  3 Cu 3.04-3.22, 1 Pb 3.37
Nd 0.3049 0.9849 0.6800  3 Cu 2.92-3.06
Nd 0.1007 0.2929 0.8077  3 Cu 3.04-3.22, 1 Pb 3.37
Nd 0.8017 0.7715 0.5732  1 Cu 3.03, 1 Pb 3.25
Nd 0.6951 0.0151 0.3200  3 Cu 2.92-3.06
Nd 0.3049 0.6249 0.3200  3 Cu 2.92-3.06
Nd 0.1983 0.7715 0.9697  1 Cu 3.03, 1 Pb 3.25
Nd 0.5148 0.7071 0.8077  3 Cu 3.04-3.22, 1 Pb 3.37
Nd 0.1983 0.2285 0.4268  1 Cu 3.03, 1 Pb 3.25
Nd 0.8993 0.7071 0.1923  3 Cu 3.04-3.22, 1 Pb 3.37
Nd 0.6951 0.3751 0.6800  3 Cu 2.92-3.06
Nd 0.8017 0.2285 0.0303  1 Cu 3.03, 1 Pb 3.25
Cu 0.6405 0.0000 0.6405  1 Cu 2.88, 6 Nd 3.03-3.06
Cu 0.5000 0.6148 0.1148  1 Cu 2.55
Cu 0.3595 0.0000 0.3595  1 Cu 2.88, 6 Nd 3.03-3.06
Cu 0.5000 0.3852 0.8852  1 Cu 2.55
Pb 0.0000 0.0000 0.0000  8 Nd 3.25-3.37
Pb 0.0000 0.5000 0.5000  12 Nd 3.48-3.69

Calculated values
- DOS(E_F): 19.53 states/eV per cell
- Raw total energy: -4.687 eV per atom
- Theoretical density: 7.50 g/cm3